(1)
## LiCd2In (PBE)

Data for crystalline LiCd2In at its relaxed geometry.

Computed properties:
ΔH_f (0 K) ... -0.1278 eV/atom
Raw total energy ... -1.748 eV/atom

Cell: 3.2190 4.2132 6.3716 Å, 90.00 90.64 90.00°
Space group Pm (No. 6)
One atom of each set of equivalent atoms:
Li 0.0000 0.0000 0.0000
Cd 0.0003 0.0000 0.5125
Cd 0.4968 0.5000 0.7674
In 0.5043 0.5000 0.2422

(2)
## Zn2Co2W (PBE)

Data for crystalline Zn2Co2W at its relaxed geometry.

Computed properties:
ΔH_f (0 K) ... 0.2664 eV/atom
Raw total energy ... -5.676 eV/atom

Cell: 6.7468 6.7468 2.8362 Å, 90.00 90.00 90.00°
Space group P4/mbm (No. 127)
One atom of each set of equivalent atoms:
Zn 0.1633 0.3367 0.0000
Co 0.1337 0.6337 0.5000
W 0.0000 0.0000 0.5000

(3)
## Sb2Pb6Au (PBE)

Data for crystalline Sb2Pb6Au at its relaxed geometry.

Computed properties:
Raw formation energy ... 36 kJ/mol of formula units
Raw total energy ... -3.711 eV/atom

Cell: 8.8286 7.2613 11.4876 Å, 90.00 128.57 90.00°
Space group P2_1/c (No. 14)
One atom of each set of equivalent atoms:
Sb 0.1490 0.0016 0.2285
Pb 0.1467 0.5614 0.1984
Pb 0.2601 0.2004 0.0432
Pb 0.4021 0.6515 0.0607
Au 0.5000 0.0000 0.0000

(4)
## OsSN2F (PBE)

Data for crystalline OsSN2F at its relaxed geometry.

Computed properties:
Raw formation energy ... 307 kJ/mol of formula units
Raw total energy ... -6.139 eV/atom

Cell: 3.7378 3.7378 5.0021 Å, 90.00 90.00 90.00°
Space group P4/mmm (No. 123)
One atom of each set of equivalent atoms:
Os 0.0000 0.0000 0.0000
S 0.0000 0.0000 0.5000
N 0.0000 0.5000 0.0000
F 0.5000 0.5000 0.5000

(5)
## Th3Cd4Pd4 (PBE)

Data for crystalline Th3Cd4Pd4 at its relaxed geometry.

Computed properties:
ΔH_f (0 K) ... -0.5351 eV/atom
Raw total energy ... -4.780 eV/atom

Cell: 3.9728 8.1707 15.4769 Å, 90.00 90.00 90.00°
Space group Immm (No. 71)
One atom of each set of equivalent atoms:
Th 0.0000 0.0000 0.0000
Th 0.0000 0.5000 0.1168
Cd 0.0000 0.3136 0.3301
Pd 0.0000 0.0000 0.2454
Pd 0.0000 0.1960 0.5000

(6)
## MnSiSnIrS (PBE)

Data for crystalline MnSiSnIrS at its relaxed geometry.

Computed properties:
Raw formation energy ... -120 kJ/mol of formula units
Raw total energy ... -6.566 eV/atom

Cell: 6.1987 3.5860 8.8475 Å, 90.00 103.48 90.00°
Space group Cm (No. 8)
One atom of each set of equivalent atoms:
Mn 0.0000 0.0000 0.0000
Si 0.2012 0.0000 0.6004
Sn 0.2487 0.5000 0.2424
Ir 0.4940 0.0000 0.4775
S 0.2873 0.0000 0.8612

(7)
## CrTcCl2 (PBE)

Data for crystalline CrTcCl2 at its relaxed geometry.

Computed properties:
Raw formation energy ... 31 kJ/mol of formula units
Raw total energy ... -5.841 eV/atom

Cell: 3.0817 4.3189 13.8079 Å, 90.00 90.00 90.00°
Space group Immm (No. 71)
One atom of each set of equivalent atoms:
Cr 0.0000 0.0000 0.0000
Tc 0.0000 0.0000 0.5000
Cl 0.0000 0.5000 0.1370

(8)
## LaEuLuSc (PBE)

Data for crystalline LaEuLuSc at its relaxed geometry.

Computed properties:
ΔH_f (0 K) ... 0.1650 eV/atom
Raw total energy ... -6.349 eV/atom

Cell: 8.0201 8.0201 8.0201 Å, 90.00 90.00 90.00°
Space group F-43m (No. 216)
One atom of each set of equivalent atoms:
La 0.0000 0.0000 0.0000
Eu 0.2500 0.2500 0.2500
Lu 0.0000 0.0000 0.5000
Sc 0.2500 0.2500 0.7500

Number 1: total magnetization 0.00 μB per formula unit, theoretical density 6.660 g/cm³. Number 2: total magnetization 1.07 μB per formula unit, theoretical density 11.127 g/cm³. Number 3: total magnetization 0.00 μB per formula unit, theoretical density 9.712 g/cm³. Number 4: total magnetization 0.00 μB per formula unit, theoretical density 6.399 g/cm³. Number 5: total magnetization 0.00 μB per formula unit, theoretical density 10.388 g/cm³. Number 6: total magnetization 4.03 μB per formula unit, theoretical density 7.398 g/cm³. Number 7: total magnetization 3.16 μB per formula unit, theoretical density 3.992 g/cm³. Number 8: total magnetization 7.66 μB per formula unit, theoretical density 6.577 g/cm³.